# YCuSN2, relaxed, DFT PBE-GGA
# Magnetic moment, μB/atom: 0.1495
# Offset from the most stable computed form, eV/f.u.: 0.00
# Electronic total energy, eV per atom: -5.951
# V, Å³/atom: 13.76
data_YCuSN2
_chemical_formula_sum 'Y1 Cu1 S1 N2'
_cell_length_a 3.911
_cell_length_b 3.911
_cell_length_c 4.497
_cell_angle_alpha 90.00
_cell_angle_beta 90.00
_cell_angle_gamma 90.00
_space_group_name_H-M_alt 'P 4/m m m'
_space_group_IT_number 123
_space_group_name_Hall '-P 4 2'
loop_
_atom_site_label
_atom_site_fract_x
_atom_site_fract_y
_atom_site_fract_z
Y1 0.000 0.000 0.000
Cu1 0.500 0.500 0.500
S1 0.500 0.500 0.000
N1 0.000 0.500 0.500

# YCuS2N, relaxed, DFT PBE-GGA
# Magnetic moment, μB/atom: 0.0000
# Offset from the most stable computed form, eV/f.u.: 3.86
# Electronic total energy, eV per atom: -4.838
# V, Å³/atom: 23.72
data_YCuS2N
_chemical_formula_sum 'Y1 Cu1 S2 N1'
_cell_length_a 5.235
_cell_length_b 5.235
_cell_length_c 4.327
_cell_angle_alpha 90.00
_cell_angle_beta 90.00
_cell_angle_gamma 90.00
_space_group_name_H-M_alt 'P 4/m m m'
_space_group_IT_number 123
_space_group_name_Hall '-P 4 2'
loop_
_atom_site_label
_atom_site_fract_x
_atom_site_fract_y
_atom_site_fract_z
Y1 0.000 0.000 0.000
Cu1 0.500 0.500 0.500
S1 0.000 0.500 0.000
N1 0.000 0.000 0.500

# YCuSN2, relaxed, DFT PBE-GGA
# Magnetic moment, μB/atom: 0.8004
# Offset from the most stable computed form, eV/f.u.: 3.48
# Electronic total energy, eV per atom: -5.255
# V, Å³/atom: 21.36
data_YCuSN2
_chemical_formula_sum 'Y1 Cu1 S1 N2'
_cell_length_a 4.442
_cell_length_b 4.442
_cell_length_c 5.411
_cell_angle_alpha 90.00
_cell_angle_beta 90.00
_cell_angle_gamma 90.00
_space_group_name_H-M_alt 'P 4/m m m'
_space_group_IT_number 123
_space_group_name_Hall '-P 4 2'
loop_
_atom_site_label
_atom_site_fract_x
_atom_site_fract_y
_atom_site_fract_z
Y1 0.000 0.000 0.000
Cu1 0.500 0.500 0.500
S1 0.000 0.000 0.500
N1 0.000 0.500 0.000

# Y2CuSN, relaxed, DFT PBE-GGA
# Magnetic moment, μB/atom: 0.2094
# Electronic total energy, eV per atom: -6.215
# V, Å³/atom: 19.11
data_Y2CuSN
_chemical_formula_sum 'Y2 Cu1 S1 N1'
_cell_length_a 5.223
_cell_length_b 5.223
_cell_length_c 3.502
_cell_angle_alpha 90.00
_cell_angle_beta 90.00
_cell_angle_gamma 90.00
_space_group_name_H-M_alt 'P 4/m m m'
_space_group_IT_number 123
_space_group_name_Hall '-P 4 2'
loop_
_atom_site_label
_atom_site_fract_x
_atom_site_fract_y
_atom_site_fract_z
Y1 0.000 0.500 0.000
Cu1 0.000 0.000 0.000
S1 0.500 0.500 0.500
N1 0.000 0.000 0.500

# ZrCuSN2, relaxed, DFT PBE-GGA
# Magnetic moment, μB/atom: 0.0000
# Offset from the most stable computed form, eV/f.u.: 0.00
# Electronic total energy, eV per atom: -6.073
# V, Å³/atom: 12.75
data_ZrCuSN2
_chemical_formula_sum 'Zr1 Cu1 S1 N2'
_cell_length_a 3.826
_cell_length_b 3.826
_cell_length_c 4.354
_cell_angle_alpha 90.00
_cell_angle_beta 90.00
_cell_angle_gamma 90.00
_space_group_name_H-M_alt 'P 4/m m m'
_space_group_IT_number 123
_space_group_name_Hall '-P 4 2'
loop_
_atom_site_label
_atom_site_fract_x
_atom_site_fract_y
_atom_site_fract_z
Zr1 0.000 0.000 0.000
Cu1 0.500 0.500 0.500
S1 0.500 0.500 0.000
N1 0.000 0.500 0.500

# ZrCuSN2, relaxed, DFT PBE-GGA
# Magnetic moment, μB/atom: 0.3976
# Offset from the most stable computed form, eV/f.u.: 0.05
# Electronic total energy, eV per atom: -6.063
# V, Å³/atom: 18.02
data_ZrCuSN2
_chemical_formula_sum 'Zr1 Cu1 S1 N2'
_cell_length_a 4.149
_cell_length_b 4.149
_cell_length_c 5.236
_cell_angle_alpha 90.00
_cell_angle_beta 90.00
_cell_angle_gamma 90.00
_space_group_name_H-M_alt 'P 4/m m m'
_space_group_IT_number 123
_space_group_name_Hall '-P 4 2'
loop_
_atom_site_label
_atom_site_fract_x
_atom_site_fract_y
_atom_site_fract_z
Zr1 0.000 0.000 0.000
Cu1 0.500 0.500 0.500
S1 0.000 0.000 0.500
N1 0.000 0.500 0.000